(1)
CsTl2Cd2Sb2: optimized geometry, PBE. Values from VASP.

Geometry as Quantum ESPRESSO input:
```
&SYSTEM
  ibrav = 0, nat = 7, ntyp = 4
/
ATOMIC_SPECIES
Cd 112.41 Cd.upf
Sb 121.76 Sb.upf
Cs 132.91 Cs.upf
Tl 204.38 Tl.upf
CELL_PARAMETERS angstrom
4.882 0.000 0.000
2.441 4.228 0.000
2.441 1.409 12.198
ATOMIC_POSITIONS angstrom
Cd 4.882 2.818 3.356
Cd 4.882 2.818 8.842
Sb 2.441 1.409 2.807
Sb 7.322 4.228 9.390
Cs 0.000 0.000 0.000
Tl 7.322 4.228 5.236
Tl 2.441 1.409 6.962
```

(2)
CsVCdSb2: optimized geometry, PBE. Values from VASP.

Geometry as Quantum ESPRESSO input:
```
&SYSTEM
  ibrav = 0, nat = 5, ntyp = 4
/
ATOMIC_SPECIES
Cd 112.41 Cd.upf
V 50.94 V.upf
Sb 121.76 Sb.upf
Cs 132.91 Cs.upf
CELL_PARAMETERS angstrom
5.225 0.000 0.000
0.000 5.639 0.000
0.000 0.000 5.225
ATOMIC_POSITIONS angstrom
Cd 0.000 2.819 0.000
V 0.000 0.000 0.000
Sb 0.000 0.000 2.613
Sb 2.613 0.000 0.000
Cs 2.613 2.819 2.613
```

(3)
Cs2ZnCdSb2: optimized geometry, PBE. Values from VASP.

Geometry as Quantum ESPRESSO input:
```
&SYSTEM
  ibrav = 0, nat = 12, ntyp = 4
/
ATOMIC_SPECIES
Cs 132.91 Cs.upf
Sb 121.76 Sb.upf
Zn 65.41 Zn.upf
Cd 112.41 Cd.upf
CELL_PARAMETERS angstrom
-0.749 -6.020 -3.402
6.693 0.188 -1.807
-0.807 -1.617 10.149
ATOMIC_POSITIONS angstrom
Cs 3.516 -6.009 -0.914
Cs 4.582 -4.447 3.197
Cs 1.621 -1.440 5.853
Cs 0.555 -3.002 1.742
Sb 3.527 -2.320 -0.488
Sb 1.610 -5.128 5.428
Sb -0.167 -5.202 -1.160
Sb 5.304 -2.246 6.099
Zn 1.299 -2.963 -2.153
Zn 4.645 -2.869 -3.057
Cd 1.673 0.047 -0.452
Cd 5.020 0.141 -1.356
```

no.,formation energy from raw total energies (eV/f.u.),N(E_F) (states/eV/f.u.),magnetic moment (μB per formula unit)
1,-1.1,2.9,0.0
2,-0.1,2.5,0.8
3,-2.2,0.6,0.0